(1)
ZrTiAl2Ni PBE-GGA relaxed; volume = 94 Å³/cell; SG = P4/mmm, No. 123; energy of formation from the pure elements = 0.06 eV/atom; density = 4.44 g cm⁻³; N(E_F) = 0.733 states/eV per atom
1.0
-2.6605 0.7210 -3.4439
3.6992 -0.7946 -3.0240
-1.0152 -4.2913 -0.1142
Ni Al Zr Ti
1 2 1 1
direct
0.0000 0.0000 0.0000
0.0000 0.0000 0.5000
0.5000 0.0000 0.0000
0.0000 0.5000 0.0000
0.5000 0.5000 0.5000

---

(2)
Zr2Ti5AlNi2 PBE-GGA relaxed; volume = 347 Å³/cell; SG = P4/mbm, No. 127; energy of formation from the pure elements = -0.22 eV/atom; density = 5.43 g cm⁻³; N(E_F) = 1.050 states/eV per atom
1.0
3.1993 0.0000 0.0000
0.0000 10.4071 0.0000
0.0000 0.0000 10.4071
Zr Ti Al Ni
4 10 2 4
direct
0.0000 0.6759 0.1759
0.0000 0.3241 0.8241
0.0000 0.1759 0.3241
0.0000 0.8241 0.6759
0.5000 0.2083 0.0626
0.5000 0.7917 0.9374
0.5000 0.0626 0.7917
0.5000 0.7083 0.4374
0.5000 0.9374 0.2083
0.5000 0.2917 0.5626
0.5000 0.5626 0.7083
0.5000 0.4374 0.2917
0.5000 0.5000 0.0000
0.5000 0.0000 0.5000
0.0000 0.0000 0.0000
0.0000 0.5000 0.5000
0.0000 0.1255 0.6255
0.0000 0.8745 0.3745
0.0000 0.6255 0.8745
0.0000 0.3745 0.1255

---

(3)
AlTl3Ni PBE-GGA relaxed; volume = 133 Å³/cell; SG = Pm-3m, No. 221; energy of formation from the pure elements = 0.33 eV/atom; ΔE to the lowest computed polymorph = 0 meV/atom; density = 8.74 g cm⁻³; N(E_F) = 0.804 states/eV per atom
1.0
-1.9703 4.1533 2.2111
-1.9566 -2.9033 3.7099
4.2790 0.5848 2.7145
Ni Tl Al
1 3 1
direct
0.0000 0.0000 0.0000
0.0000 0.5000 0.0000
0.0000 0.0000 0.5000
0.5000 0.0000 0.0000
0.5000 0.5000 0.5000

---

(4)
Al2TlNi PBE-GGA relaxed; volume = 80 Å³/cell; SG = C2/m, No. 12; energy of formation from the pure elements = -0.02 eV/atom; ΔE to the lowest computed polymorph = 75 meV/atom; density = 6.59 g cm⁻³; N(E_F) = 0.453 states/eV per atom
1.0
4.1334 0.0159 0.0042
2.0759 3.5743 0.0042
1.8425 1.0653 5.4234
Ni Tl Al
1 1 2
direct
0.7500 0.7500 0.7500
0.2500 0.2500 0.2500
0.0497 0.0497 0.8608
0.4503 0.4503 0.6392

---

(5)
AlTlNi2 PBE-GGA relaxed; volume = 59 Å³/cell; SG = I-4m2, No. 119; energy of formation from the pure elements = 0.03 eV/atom; ΔE to the lowest computed polymorph = 158 meV/atom; density = 9.87 g cm⁻³; N(E_F) = 0.344 states/eV per atom
1.0
-0.8888 -3.7897 -3.1140
-2.8405 -3.6914 1.7758
-0.2881 4.9719 -0.2149
Ni Tl Al
2 1 1
direct
0.0000 0.0000 0.0000
0.2500 0.7500 0.5000
0.5000 0.5000 0.0000
0.7500 0.2500 0.5000

---

(6)
AlTlNi PBE-GGA relaxed; volume = 55 Å³/cell; SG = P3m1, No. 156; energy of formation from the pure elements = 0.12 eV/atom; ΔE to the lowest computed polymorph = 83 meV/atom; density = 8.84 g cm⁻³; N(E_F) = 0.228 states/eV per atom
1.0
-2.7100 -1.4345 0.7652
2.4556 -0.0981 1.9868
-2.0221 5.2926 2.7605
Ni Tl Al
1 1 1
direct
0.6667 0.3333 0.3031
0.3333 0.6667 0.6435
0.0000 0.0000 0.0533

---

(7)
AlTlNi3 PBE-GGA relaxed; volume = 82 Å³/cell; SG = Pm-3m, No. 221; energy of formation from the pure elements = 0.52 eV/atom; ΔE to the lowest computed polymorph = 0 meV/atom; density = 8.25 g cm⁻³; N(E_F) = 0.630 states/eV per atom
1.0
-3.6808 -2.3090 -0.0565
1.0399 -1.5620 -3.9194
2.0623 -3.3335 1.8756
Ni Tl Al
3 1 1
direct
0.0000 0.5000 0.0000
0.0000 0.0000 0.5000
0.5000 0.0000 0.0000
0.5000 0.5000 0.5000
0.0000 0.0000 0.0000

---

(8)
AlTlNi3 PBE-GGA relaxed; volume = 104 Å³/cell; SG = Pm-3m, No. 221; energy of formation from the pure elements = 1.26 eV/atom; ΔE to the lowest computed polymorph = 741 meV/atom; density = 6.52 g cm⁻³; N(E_F) = 0.979 states/eV per atom
1.0
4.6981 0.0000 0.0000
0.0000 4.6981 0.0000
0.0000 0.0000 4.6981
Ni Tl Al
3 1 1
direct
0.0000 0.5000 0.0000
0.0000 0.0000 0.5000
0.5000 0.0000 0.0000
0.0000 0.0000 0.0000
0.5000 0.5000 0.5000

---

(9)
Al2TlNi PBE-GGA relaxed; volume = 73 Å³/cell; SG = Pm, No. 6; energy of formation from the pure elements = 0.08 eV/atom; ΔE to the lowest computed polymorph = 169 meV/atom; density = 7.20 g cm⁻³; N(E_F) = 0.346 states/eV per atom
1.0
-2.8641 0.7356 -2.8869
2.2389 -0.9788 -2.4706
-0.5142 -5.2977 -0.8398
Ni Tl Al
1 1 2
direct
0.0000 0.3287 0.4684
0.5000 0.7098 0.6948
0.0000 0.0116 0.1067
0.5000 0.4499 0.2301

---

(10)
AlTlNi2 PBE-GGA relaxed; volume = 62 Å³/cell; SG = R-3m, No. 166; energy of formation from the pure elements = 0.10 eV/atom; ΔE to the lowest computed polymorph = 227 meV/atom; density = 9.37 g cm⁻³; N(E_F) = 0.519 states/eV per atom
1.0
8.1906 -0.0251 -0.0148
7.6553 2.9126 -0.0148
7.6553 1.3950 2.5569
Ni Tl Al
2 1 1
direct
0.0086 0.0086 0.0086
0.4914 0.4914 0.4914
0.2500 0.2500 0.2500
0.7500 0.7500 0.7500

---

(11)
AlTlNi2 PBE-GGA relaxed; volume = 62 Å³/cell; SG = P4mm, No. 99; energy of formation from the pure elements = 0.04 eV/atom; ΔE to the lowest computed polymorph = 170 meV/atom; density = 9.37 g cm⁻³; N(E_F) = 0.497 states/eV per atom
1.0
3.1508 0.0000 0.0000
0.0000 3.1508 0.0000
0.0000 0.0000 6.2284
Ni Tl Al
2 1 1
direct
0.0000 0.0000 0.9879
0.5000 0.5000 0.2141
0.0000 0.0000 0.4671
0.5000 0.5000 0.8308

---

(12)
Al3TlNi PBE-GGA relaxed; volume = 138 Å³/cell; SG = Pm-3m, No. 221; energy of formation from the pure elements = 1.37 eV/atom; ΔE to the lowest computed polymorph = 1403 meV/atom; density = 4.15 g cm⁻³; N(E_F) = 1.161 states/eV per atom
1.0
5.1651 0.0000 0.0000
0.0000 5.1651 0.0000
0.0000 0.0000 5.1651
Ni Tl Al
1 1 3
direct
0.5000 0.5000 0.5000
0.0000 0.0000 0.0000
0.0000 0.5000 0.0000
0.0000 0.0000 0.5000
0.5000 0.0000 0.0000